{"formula": "MgAgTe", "functional": "PBE", "state": "relaxed", "cell": [[-0.1319, -4.5297, 0.6264], [4.5222, -0.2221, -0.6542], [1.0103, 0.8943, 6.6803]], "species": ["Mg", "Ag", "Te", "Mg", "Te", "Ag"], "fractional_positions": [[0.0000, 0.0000, 0.5000], [0.5000, 0.0000, 0.2235], [0.0000, 0.5000, 0.2130], [0.5000, 0.5000, 0.5000], [0.5000, 0.0000, 0.7870], [0.0000, 0.5000, 0.7765]], "raw_formation_energy_ev_per_fu": -0.62, "spacegroup": "P4/nmm (129)", "dos_at_fermi_per_ev_cell": 3.1, "total_magnetization_mub_per_cell": 0.0}


{"formula": "Tl2AgS8", "functional": "PBE", "state": "relaxed", "cell": [[11.7042, 2.2176, 5.8346], [6.8582, 6.5558, 3.9322], [5.5953, 1.0902, 8.5428]], "species": ["S", "S", "Ag", "Tl", "S", "Tl", "S", "S", "S", "S", "S"], "fractional_positions": [[0.9648, 0.9024, 0.3542], [0.1669, 0.5133, 0.5133], [0.0000, 0.0000, 0.0000], [0.5283, 0.8268, 0.8268], [0.0352, 0.6458, 0.0976], [0.4717, 0.1732, 0.1732], [0.0957, 0.7637, 0.7637], [0.0352, 0.0976, 0.6458], [0.8331, 0.4867, 0.4867], [0.9648, 0.3542, 0.9024], [0.9043, 0.2363, 0.2363]], "raw_formation_energy_ev_per_fu": 1.27, "spacegroup": "C2/m (12)", "dos_at_fermi_per_ev_cell": 0.4, "total_magnetization_mub_per_cell": 0.0}


{"formula": "Sr2ScP", "functional": "PBE", "state": "relaxed", "cell": [[-2.3063, 2.3063, 5.5704], [2.3063, -2.3063, 5.5704], [2.3063, 2.3063, -5.5704]], "species": ["Sc", "Sr", "Sr", "P"], "fractional_positions": [[0.7500, 0.2500, 0.5000], [0.2500, 0.7500, 0.5000], [0.0000, 0.0000, 0.0000], [0.5000, 0.5000, 0.0000]], "spacegroup": "I-4m2 (119)", "formation_enthalpy_0k_mev_per_atom": -49, "dos_at_fermi_per_ev_cell": 1.8, "total_magnetization_mub_per_cell": 0.0}


{"formula": "NdMgInPb", "functional": "PBE", "state": "relaxed", "cell": [[-4.3616, -0.7714, -1.1663], [1.1580, -4.4124, -1.4122], [-0.9109, -1.6862, 4.5214]], "species": ["Nd", "In", "Pb", "Mg"], "fractional_positions": [[0.0000, 0.5000, 0.5000], [0.5000, 0.5000, 0.0000], [0.5000, 0.0000, 0.5000], [0.0000, 0.0000, 0.0000]], "spacegroup": "Pmmm (47)", "formation_enthalpy_0k_mev_per_atom": -411, "dos_at_fermi_per_ev_cell": 2.1, "total_magnetization_mub_per_cell": 0.0}


{"formula": "TaCdRu2", "functional": "PBE", "state": "relaxed", "cell": [[3.2850, 0.0000, 0.0000], [0.0000, 4.4296, 0.0000], [0.0000, 0.0000, 4.4296]], "species": ["Ru", "Cd", "Ta", "Ru"], "fractional_positions": [[0.0000, 0.5000, 0.5000], [0.5000, 0.0000, 0.5000], [0.5000, 0.5000, 0.0000], [0.0000, 0.0000, 0.0000]], "spacegroup": "P4/mmm (123)", "formation_enthalpy_0k_mev_per_atom": -27, "dos_at_fermi_per_ev_cell": 5.0, "total_magnetization_mub_per_cell": 0.0}


{"formula": "Y2MgSi", "functional": "PBE", "state": "relaxed", "cell": [[4.8387, 0.0000, 0.0000], [0.0000, 4.7004, 1.1783], [0.0000, 3.7282, 5.0641]], "species": ["Si", "Mg", "Y", "Y"], "fractional_positions": [[0.0000, 0.0000, 0.5000], [0.5000, 0.5000, 0.5000], [0.5000, 0.5000, 0.0000], [0.0000, 0.0000, 0.0000]], "raw_formation_energy_ev_per_fu": -1.34, "spacegroup": "P4/mmm (123)", "dos_at_fermi_per_ev_cell": 3.0, "total_magnetization_mub_per_cell": 0.0}


{"formula": "Pr6CuAg3", "functional": "PBE", "state": "relaxed", "cell": [[5.0889, 0.0000, 0.0000], [0.0000, 9.0042, -3.5741], [0.0000, -0.4258, 12.7933]], "species": ["Pr", "Ag", "Ag", "Pr", "Ag", "Pr", "Pr", "Ag", "Pr", "Ag", "Pr", "Cu", "Pr", "Ag", "Pr", "Pr", "Cu", "Pr", "Pr", "Pr"], "fractional_positions": [[0.2500, 0.8901, 0.3836], [0.7500, 0.6507, 0.2847], [0.2500, 0.5488, 0.3691], [0.2500, 0.1459, 0.8457], [0.2500, 0.3493, 0.7153], [0.2500, 0.2962, 0.4640], [0.7500, 0.9197, 0.8873], [0.7500, 0.2697, 0.0104], [0.7500, 0.1099, 0.6164], [0.7500, 0.4512, 0.6309], [0.2500, 0.6835, 0.7397], [0.7500, 0.0993, 0.3777], [0.7500, 0.3165, 0.2603], [0.2500, 0.7303, 0.9896], [0.7500, 0.4931, 0.8819], [0.7500, 0.8541, 0.1543], [0.2500, 0.9007, 0.6223], [0.7500, 0.7038, 0.5360], [0.2500, 0.0803, 0.1127], [0.2500, 0.5069, 0.1181]], "spacegroup": "P2_1/m (11)", "formation_enthalpy_0k_mev_per_atom": -131, "dos_at_fermi_per_ev_cell": 19.9, "total_magnetization_mub_per_cell": 0.0}


{"formula": "HoInNi4", "functional": "PBE", "state": "relaxed", "cell": [[-0.9910, 3.1684, -3.7093], [-0.8391, -1.7276, -4.5923], [-4.5796, 0.2078, -1.9397]], "species": ["Ho", "Ni", "In", "Ni", "Ni", "Ni"], "fractional_positions": [[0.0000, 0.0000, 0.0000], [0.1276, 0.6241, 0.6241], [0.2500, 0.2500, 0.2500], [0.6241, 0.1276, 0.6241], [0.6241, 0.6241, 0.6241], [0.6241, 0.6241, 0.1276]], "spacegroup": "F-43m (216)", "formation_enthalpy_0k_mev_per_atom": -401, "dos_at_fermi_per_ev_cell": 3.8, "total_magnetization_mub_per_cell": 0.0}